A.
NaCuPtSe3 | PBE-GGA | optimized geometry

## Properties
Spin magnetization in μB/f.u.: 0.02

Unit cell a=10.2322 b=3.8280 c=12.6352 alpha=90.00 beta=90.00 gamma=90.00
Last column: nearest neighbours and their distance in Å.
Element x y z (fractional)
Na 0.2442 0.2500 0.0008  8 Se 3.03-3.35, 2 Cu 3.13
Na 0.2558 0.7500 0.5008  8 Se 3.03-3.35, 2 Cu 3.13
Na 0.7442 0.2500 0.4992  8 Se 3.03-3.35, 2 Cu 3.13
Na 0.7558 0.7500 0.9992  8 Se 3.03-3.35, 2 Cu 3.13
Cu 0.2480 0.7500 0.8045  4 Se 2.40-2.43
Cu 0.2520 0.2500 0.3045  4 Se 2.40-2.43
Cu 0.7480 0.7500 0.6955  4 Se 2.40-2.43
Cu 0.7520 0.2500 0.1955  4 Se 2.40-2.43
Pt 0.0065 0.7500 0.2550  6 Se 2.55-2.73
Pt 0.4935 0.2500 0.7550  6 Se 2.55-2.73
Pt 0.5065 0.7500 0.2450  6 Se 2.55-2.73
Pt 0.9935 0.2500 0.7450  6 Se 2.55-2.73
Se 0.0285 0.7500 0.8762  1 Cu 2.42, 2 Pt 2.56
Se 0.0398 0.2500 0.3861  1 Cu 2.40, 2 Pt 2.55
Se 0.2408 0.2500 0.6860  2 Cu 2.43, 1 Pt 2.64
Se 0.2592 0.7500 0.1860  2 Cu 2.43, 1 Pt 2.64
Se 0.4602 0.7500 0.8861  1 Cu 2.40, 2 Pt 2.55
Se 0.4715 0.2500 0.3762  1 Cu 2.42, 2 Pt 2.56
Se 0.5285 0.7500 0.6238  1 Cu 2.42, 2 Pt 2.56
Se 0.5398 0.2500 0.1139  1 Cu 2.40, 2 Pt 2.55
Se 0.7408 0.2500 0.8140  2 Cu 2.43, 1 Pt 2.64
Se 0.7592 0.7500 0.3140  2 Cu 2.43, 1 Pt 2.64
Se 0.9602 0.7500 0.6139  1 Cu 2.40, 2 Pt 2.55
Se 0.9715 0.2500 0.1238  1 Cu 2.42, 2 Pt 2.56


B.
NaCuPtSe3 | PBE-GGA | optimized geometry

## Properties
Spin magnetization in μB/f.u.: 0.00

Unit cell a=8.3829 b=8.3829 c=8.5361 alpha=106.99 beta=106.99 gamma=26.22
Last column: nearest neighbours and their distance in Å.
Element x y z (fractional)
Na 0.1380 0.1380 0.0577  5 Se 2.88-3.18
Na 0.8620 0.8620 0.9423  5 Se 2.88-3.18
Cu 0.4920 0.4920 0.2838  5 Se 2.46-2.63
Cu 0.5080 0.5080 0.7162  5 Se 2.46-2.63
Pt 0.1730 0.1730 0.5914  6 Se 2.51-2.70
Pt 0.8270 0.8270 0.4086  6 Se 2.51-2.70
Se 0.0000 0.0000 0.5000  4 Cu 2.63, 2 Pt 2.70
Se 0.3300 0.3300 0.2169  2 Pt 2.52, 1 Cu 2.53
Se 0.3406 0.3406 0.6066  3 Pt 2.51-2.70, 1 Cu 2.61
Se 0.5000 0.5000 0.0000  2 Cu 2.46
Se 0.6594 0.6594 0.3934  3 Pt 2.51-2.70, 1 Cu 2.61
Se 0.6700 0.6700 0.7831  2 Pt 2.52, 1 Cu 2.53


The relative energies come out as A 0.000; B 0.006, with values in eV/atom.


A.
NaCuTe3Pt | PBE-GGA | optimized geometry

## Properties
Spin magnetization in μB/f.u.: 0.01

Unit cell a=6.8693 b=6.8693 c=11.0593 alpha=90.00 beta=90.00 gamma=145.53
Last column: nearest neighbours and their distance in Å.
Element x y z (fractional)
Na 0.2452 0.7548 0.7500  2 Cu 3.11, 4 Te 3.29-3.48
Na 0.7548 0.2452 0.2500  2 Cu 3.11, 4 Te 3.29-3.48
Cu 0.4341 0.5659 0.2500  4 Te 2.59-2.60
Cu 0.5659 0.4341 0.7500  4 Te 2.59-2.60
Te 0.0576 0.9424 0.2500  2 Cu 2.60, 2 Pt 2.87
Te 0.3654 0.6346 0.0303  1 Cu 2.59, 2 Pt 2.72
Te 0.3654 0.6346 0.4697  1 Cu 2.59, 2 Pt 2.72
Te 0.6346 0.3654 0.5303  1 Cu 2.59, 2 Pt 2.72
Te 0.6346 0.3654 0.9697  1 Cu 2.59, 2 Pt 2.72
Te 0.9424 0.0576 0.7500  2 Cu 2.60, 2 Pt 2.87
Pt 0.0000 0.0000 0.0000  6 Te 2.72-2.87
Pt 0.0000 0.0000 0.5000  6 Te 2.72-2.87


B.
NaCuTe3Pt | PBE-GGA | optimized geometry

## Properties
Spin magnetization in μB/f.u.: 0.00

Unit cell a=14.3830 b=4.1654 c=10.3142 alpha=90.00 beta=90.00 gamma=90.00
Last column: nearest neighbours and their distance in Å.
Element x y z (fractional)
Na 0.1608 0.2500 0.0232  6 Te 3.22-3.54, 3 Cu 3.22-3.43
Na 0.3392 0.7500 0.5232  6 Te 3.22-3.54, 3 Cu 3.22-3.43
Na 0.6608 0.2500 0.4768  6 Te 3.22-3.54, 3 Cu 3.22-3.43
Na 0.8392 0.7500 0.9768  6 Te 3.22-3.54, 3 Cu 3.22-3.43
Cu 0.1975 0.7500 0.2557  3 Te 2.53-2.55
Cu 0.3025 0.2500 0.7557  3 Te 2.53-2.55
Cu 0.6975 0.7500 0.2443  3 Te 2.53-2.55
Cu 0.8025 0.2500 0.7443  3 Te 2.53-2.55
Te 0.0259 0.7500 0.1997  1 Cu 2.53, 2 Pt 2.75
Te 0.1028 0.2500 0.5076  3 Pt 2.68-2.72
Te 0.2041 0.7500 0.7933  2 Cu 2.55, 1 Pt 2.72
Te 0.2959 0.2500 0.2933  2 Cu 2.55, 1 Pt 2.72
Te 0.3972 0.7500 0.0076  3 Pt 2.68-2.72
Te 0.4741 0.2500 0.6997  1 Cu 2.53, 2 Pt 2.75
Te 0.5259 0.7500 0.3003  1 Cu 2.53, 2 Pt 2.75
Te 0.6028 0.2500 0.9924  3 Pt 2.68-2.72
Te 0.7041 0.7500 0.7067  2 Cu 2.55, 1 Pt 2.72
Te 0.7959 0.2500 0.2067  2 Cu 2.55, 1 Pt 2.72
Te 0.8972 0.7500 0.4924  3 Pt 2.68-2.72
Te 0.9741 0.2500 0.8003  1 Cu 2.53, 2 Pt 2.75
Pt 0.0428 0.7500 0.6551  6 Te 2.68-2.75
Pt 0.4572 0.2500 0.1551  6 Te 2.68-2.75
Pt 0.5428 0.7500 0.8449  6 Te 2.68-2.75
Pt 0.9572 0.2500 0.3449  6 Te 2.68-2.75


The relative energies come out as A 0.048; B 0.000, with values in eV/atom.